{
  "formula": "NaCa2InPt",
  "functional": "GGA-PBE",
  "state": "optimized geometry",
  "lattice": [[5.605, 0.000, 0.000], [0.000, 5.605, 0.000], [0.000, 0.000, 5.235]],
  "species": ["Na", "Ca", "Ca", "In", "Pt"],
  "frac_coords": [[0.000, 0.000, 0.000], [0.000, 0.500, 0.500], [0.500, 0.000, 0.500], [0.500, 0.500, 0.000], [0.500, 0.500, 0.500]],
  "formation_energy_kj_per_mol_fu": -213
}

---

{
  "formula": "RbNa2CaIn",
  "functional": "GGA-PBE",
  "state": "optimized geometry",
  "lattice": [[6.220, 0.000, 0.000], [0.000, 6.220, 0.000], [0.000, 0.000, 6.139]],
  "species": ["Rb", "Na", "Na", "Ca", "In"],
  "frac_coords": [[0.000, 0.000, 0.000], [0.000, 0.500, 0.500], [0.500, 0.000, 0.500], [0.500, 0.500, 0.000], [0.500, 0.500, 0.500]],
  "formation_energy_kj_per_mol_fu": 19
}

---

{
  "formula": "NaCaInRh",
  "functional": "GGA-PBE",
  "state": "optimized geometry",
  "lattice": [[0.000, 3.488, 3.488], [3.488, 0.000, 3.488], [3.488, 3.488, 0.000]],
  "species": ["Na", "Ca", "In", "Rh"],
  "frac_coords": [[0.000, 0.000, 0.000], [0.250, 0.250, 0.250], [0.750, 0.750, 0.750], [0.500, 0.500, 0.500]],
  "formation_energy_kj_per_mol_fu": -87
}

---

{
  "formula": "NaCaIn2Rh",
  "functional": "GGA-PBE",
  "state": "optimized geometry",
  "lattice": [[5.225, 0.000, 0.000], [0.000, 5.225, 0.000], [0.000, 0.000, 5.331]],
  "species": ["Na", "Ca", "In", "In", "Rh"],
  "frac_coords": [[0.000, 0.000, 0.000], [0.500, 0.500, 0.000], [0.000, 0.500, 0.500], [0.500, 0.000, 0.500], [0.500, 0.500, 0.500]],
  "formation_energy_kj_per_mol_fu": -135
}

---

{
  "formula": "NaCa2InS4",
  "functional": "GGA-PBE",
  "state": "optimized geometry",
  "lattice": [[-4.007, 4.011, 5.529], [4.007, -4.011, 5.529], [4.007, 4.011, -5.529]],
  "species": ["Na", "Na", "Ca", "Ca", "Ca", "Ca", "In", "In", "S", "S", "S", "S", "S", "S", "S", "S"],
  "frac_coords": [[0.500, 0.000, 0.000], [0.500, 0.500, 0.500], [0.000, 0.000, 0.000], [0.000, 0.000, 0.500], [0.000, 0.500, 0.000], [0.500, 0.000, 0.500], [0.000, 0.500, 0.500], [0.500, 0.500, 0.000], [0.231, 0.736, 0.495], [0.251, 0.257, 0.507], [0.251, 0.744, 0.993], [0.260, 0.264, 0.995], [0.740, 0.736, 0.005], [0.749, 0.256, 0.007], [0.749, 0.743, 0.493], [0.769, 0.264, 0.505]],
  "e_form_raw_ev_per_atom": -1.43
}

---

{
  "formula": "NaCaInSb",
  "functional": "GGA-PBE",
  "state": "optimized geometry",
  "lattice": [[0.000, 3.840, 3.840], [3.840, 0.000, 3.840], [3.840, 3.840, 0.000]],
  "species": ["Na", "Ca", "In", "Sb"],
  "frac_coords": [[0.000, 0.000, 0.000], [0.500, 0.500, 0.500], [0.750, 0.750, 0.750], [0.250, 0.250, 0.250]],
  "e_form_raw_ev_per_atom": -0.41
}

---

{
  "formula": "NaCa2InSe4",
  "functional": "GGA-PBE",
  "state": "optimized geometry",
  "lattice": [[-4.192, 4.196, 5.793], [4.192, -4.196, 5.793], [4.192, 4.196, -5.793]],
  "species": ["Na", "Na", "Ca", "Ca", "Ca", "Ca", "In", "In", "Se", "Se", "Se", "Se", "Se", "Se", "Se", "Se"],
  "frac_coords": [[0.500, 0.000, 0.000], [0.500, 0.500, 0.500], [0.000, 0.000, 0.000], [0.000, 0.000, 0.500], [0.000, 0.500, 0.000], [0.500, 0.000, 0.500], [0.000, 0.500, 0.500], [0.500, 0.500, 0.000], [0.232, 0.736, 0.496], [0.251, 0.256, 0.505], [0.251, 0.745, 0.995], [0.261, 0.264, 0.996], [0.739, 0.736, 0.004], [0.749, 0.255, 0.005], [0.749, 0.744, 0.495], [0.768, 0.264, 0.504]],
  "e_form_raw_ev_per_atom": -1.33
}

---

{
  "formula": "NaCa2In2Sn2",
  "functional": "GGA-PBE",
  "state": "optimized geometry",
  "lattice": [[2.632, 1.520, 8.998], [-2.632, 1.520, 8.998], [0.000, -3.039, 8.998]],
  "species": ["Na", "Ca", "Ca", "In", "In", "Sn", "Sn"],
  "frac_coords": [[0.000, 0.000, 0.000], [0.133, 0.133, 0.133], [0.867, 0.867, 0.867], [0.431, 0.431, 0.431], [0.569, 0.569, 0.569], [0.260, 0.260, 0.260], [0.740, 0.740, 0.740]],
  "formation_energy_kj_per_mol_fu": -157
}

---

{
  "formula": "NaCaTbIn",
  "functional": "GGA-PBE",
  "state": "optimized geometry",
  "lattice": [[0.000, 3.883, 3.883], [3.883, 0.000, 3.883], [3.883, 3.883, 0.000]],
  "species": ["Na", "Ca", "Tb", "In"],
  "frac_coords": [[0.000, 0.000, 0.000], [0.250, 0.250, 0.250], [0.750, 0.750, 0.750], [0.500, 0.500, 0.500]],
  "formation_energy_kj_per_mol_fu": -64
}

---

{
  "formula": "NaCa2InTe4",
  "functional": "GGA-PBE",
  "state": "optimized geometry",
  "lattice": [[-4.500, 4.520, 6.248], [4.500, -4.520, 6.248], [4.500, 4.520, -6.248]],
  "species": ["Na", "Na", "Ca", "Ca", "Ca", "Ca", "In", "In", "Te", "Te", "Te", "Te", "Te", "Te", "Te", "Te"],
  "frac_coords": [[0.000, 0.000, 0.000], [0.500, 0.000, 0.500], [0.000, 0.500, 0.500], [0.500, 0.000, 0.000], [0.500, 0.500, 0.000], [0.500, 0.500, 0.500], [0.000, 0.000, 0.500], [0.000, 0.500, 0.000], [0.236, 0.238, 0.503], [0.236, 0.733, 0.997], [0.246, 0.250, 0.997], [0.247, 0.750, 0.497], [0.753, 0.250, 0.503], [0.754, 0.750, 0.003], [0.764, 0.267, 0.003], [0.764, 0.762, 0.497]],
  "e_form_raw_ev_per_atom": -1.02
}

---

{
  "formula": "NaCa2Tl2In2",
  "functional": "GGA-PBE",
  "state": "optimized geometry",
  "lattice": [[2.615, 1.510, 9.117], [-2.615, 1.510, 9.117], [0.000, -3.019, 9.117]],
  "species": ["Na", "Ca", "Ca", "Tl", "Tl", "In", "In"],
  "frac_coords": [[0.000, 0.000, 0.000], [0.131, 0.131, 0.131], [0.869, 0.869, 0.869], [0.429, 0.429, 0.429], [0.571, 0.571, 0.571], [0.265, 0.265, 0.265], [0.735, 0.735, 0.735]],
  "formation_energy_kj_per_mol_fu": -107
}

---

{
  "formula": "NaCaTl3In",
  "functional": "GGA-PBE",
  "state": "optimized geometry",
  "lattice": [[7.430, 0.000, 0.000], [0.000, 4.993, 0.000], [-3.048, 0.000, 9.346]],
  "species": ["Na", "Na", "Ca", "Ca", "Tl", "Tl", "Tl", "Tl", "Tl", "Tl", "In", "In"],
  "frac_coords": [[0.140, 0.250, 0.119], [0.860, 0.750, 0.881], [0.332, 0.750, 0.701], [0.668, 0.250, 0.299], [0.071, 0.250, 0.775], [0.146, 0.250, 0.454], [0.397, 0.750, 0.051], [0.603, 0.250, 0.949], [0.854, 0.750, 0.546], [0.929, 0.750, 0.225], [0.393, 0.750, 0.376], [0.607, 0.250, 0.624]],
  "formation_energy_kj_per_mol_fu": -104
}